Entry 1:
K4Pm3HfO8 | PBE-GGA | relaxed

Cell lengths 7.032, 7.495, 7.032 Å; angles 117.98, 120.00, 90.00 degrees
Element x y z (fractional)
K  0.500  0.000  0.000
K  0.500  0.000  0.500
K  0.000  0.000  0.000
K  0.000  0.000  0.500
Pm  0.500  0.500  0.000
Pm  0.500  0.500  0.500
Pm  0.000  0.500  0.500
Hf  0.000  0.500  0.000
O  0.211  0.683  0.972
O  0.211  0.683  0.421
O  0.266  0.299  0.532
O  0.762  0.683  0.972
O  0.238  0.317  0.028
O  0.734  0.701  0.468
O  0.789  0.317  0.579
O  0.789  0.317  0.028

D(E_F) ... 3.0 states/eV per cell
Uncorrected formation energy ... -41.31 eV per formula unit
SG ... No. 166

Entry 2:
InTe4Au | PBE-GGA | relaxed

Cell lengths 6.390, 6.390, 6.390 Å; angles 60.00, 60.00, 60.00 degrees
Element x y z (fractional)
In  0.000  0.000  0.000
Te  0.871  0.376  0.376
Te  0.376  0.376  0.871
Te  0.376  0.871  0.376
Te  0.376  0.376  0.376
Au  0.750  0.750  0.750

Energy above the most stable polymorph in this dataset ... 499 meV/atom
D(E_F) ... 5.6 states/eV per cell
Uncorrected formation energy ... 2.33 eV per formula unit
SG ... No. 216

Entry 3:
Mg2RuSeCl | PBE-GGA | relaxed

Cell lengths 5.202, 4.470, 5.202 Å; angles 90.00, 90.00, 90.00 degrees
Element x y z (fractional)
Ru  0.000  0.000  0.000
Mg  0.000  0.000  0.500
Mg  0.500  0.000  0.000
Se  0.000  0.500  0.000
Cl  0.500  0.500  0.500

D(E_F) ... 1.4 states/eV per cell
Uncorrected formation energy ... -1.82 eV per formula unit
SG ... No. 123

Entry 4:
Pm2Sm5Dy | PBE-GGA | relaxed

Cell lengths 7.226, 14.764, 10.183 Å; angles 90.00, 90.00, 148.80 degrees
Element x y z (fractional)
Pm  0.864  0.637  0.407
Pm  0.864  0.637  0.093
Pm  0.136  0.363  0.593
Pm  0.136  0.363  0.907
Sm  0.252  0.001  0.978
Sm  0.252  0.001  0.522
Sm  0.365  0.635  0.407
Sm  0.365  0.635  0.093
Sm  0.477  0.270  0.250
Sm  0.523  0.730  0.750
Sm  0.635  0.365  0.593
Sm  0.635  0.365  0.907
Sm  0.748  0.999  0.022
Sm  0.748  0.999  0.478
Dy  0.015  0.722  0.750
Dy  0.985  0.278  0.250

Energy above the most stable polymorph in this dataset ... 219 meV/atom
D(E_F) ... 21.4 states/eV per cell
Formation enthalpy at 0 K ... 0.234 eV/atom
SG ... No. 11

Entry 5:
Pr2SmY2Tm2 | PBE-GGA | relaxed

Cell lengths 3.478, 12.330, 11.996 Å; angles 151.13, 90.00, 98.11 degrees
Each line ends with the local moment (μB).
Element x y z (fractional)
Pr  0.703  0.406  0.041  0.02
Pr  0.297  0.594  0.959  0.02
Sm  0.000  0.000  0.500  0.01
Y  0.408  0.816  0.596  0.11
Y  0.592  0.184  0.404  0.11
Tm  0.657  0.313  0.243  0.26
Tm  0.343  0.687  0.757  0.26

D(E_F) ... 13.1 states/eV per cell
Formation enthalpy at 0 K ... 0.169 eV/atom
SG ... No. 12

Entry 6:
Ba2NaPrHg6 | PBE-GGA | relaxed

Cell lengths 8.104, 8.104, 8.104 Å; angles 60.00, 60.00, 90.00 degrees
Element x y z (fractional)
Ba  0.250  0.750  0.500
Ba  0.750  0.250  0.500
Na  0.000  0.000  0.000
Pr  0.500  0.500  0.000
Hg  0.242  0.758  0.000
Hg  0.758  0.758  0.000
Hg  0.242  0.242  0.517
Hg  0.758  0.242  0.000
Hg  0.242  0.242  0.000
Hg  0.758  0.758  0.483

D(E_F) ... 6.3 states/eV per cell
Formation enthalpy at 0 K ... -0.168 eV/atom
SG ... No. 225

Entry 7:
PaZnGaNi2 | PBE-GGA | relaxed

Cell lengths 5.167, 5.203, 6.686 Å; angles 112.90, 90.00, 90.00 degrees
Element x y z (fractional)
Pa  0.236  0.750  0.500
Pa  0.764  0.250  0.500
Zn  0.500  0.750  0.000
Zn  0.500  0.250  0.000
Ga  0.000  0.000  0.000
Ga  0.000  0.500  0.000
Ni  0.716  0.846  0.692
Ni  0.716  0.654  0.308
Ni  0.284  0.346  0.692
Ni  0.284  0.154  0.308

D(E_F) ... 6.9 states/eV per cell
Formation enthalpy at 0 K ... -0.238 eV/atom
SG ... No. 67

Entry 8:
CaNi4AsP2 | PBE-GGA | relaxed

Cell lengths 3.926, 3.926, 7.334 Å; angles 90.00, 90.00, 90.00 degrees
Element x y z (fractional)
Ca  0.000  0.000  0.500
Ni  0.000  0.500  0.187
Ni  0.500  0.000  0.813
Ni  0.500  0.000  0.187
Ni  0.000  0.500  0.813
As  0.000  0.000  0.000
P  0.500  0.500  0.341
P  0.500  0.500  0.659

D(E_F) ... 5.5 states/eV per cell
Formation enthalpy at 0 K ... -0.623 eV/atom
SG ... No. 123

Repeat the fifth record exactly.
Pr2SmY2Tm2 | PBE-GGA | relaxed

Cell lengths 3.478, 12.330, 11.996 Å; angles 151.13, 90.00, 98.11 degrees
Each line ends with the local moment (μB).
Element x y z (fractional)
Pr  0.703  0.406  0.041  0.02
Pr  0.297  0.594  0.959  0.02
Sm  0.000  0.000  0.500  0.01
Y  0.408  0.816  0.596  0.11
Y  0.592  0.184  0.404  0.11
Tm  0.657  0.313  0.243  0.26
Tm  0.343  0.687  0.757  0.26

D(E_F) ... 13.1 states/eV per cell
Formation enthalpy at 0 K ... 0.169 eV/atom
SG ... No. 12

Q: Number 5 is which compound?
A: Pr2SmY2Tm2

Repeat the fourth record exactly.
Pm2Sm5Dy | PBE-GGA | relaxed

Cell lengths 7.226, 14.764, 10.183 Å; angles 90.00, 90.00, 148.80 degrees
Element x y z (fractional)
Pm  0.864  0.637  0.407
Pm  0.864  0.637  0.093
Pm  0.136  0.363  0.593
Pm  0.136  0.363  0.907
Sm  0.252  0.001  0.978
Sm  0.252  0.001  0.522
Sm  0.365  0.635  0.407
Sm  0.365  0.635  0.093
Sm  0.477  0.270  0.250
Sm  0.523  0.730  0.750
Sm  0.635  0.365  0.593
Sm  0.635  0.365  0.907
Sm  0.748  0.999  0.022
Sm  0.748  0.999  0.478
Dy  0.015  0.722  0.750
Dy  0.985  0.278  0.250

Energy above the most stable polymorph in this dataset ... 219 meV/atom
D(E_F) ... 21.4 states/eV per cell
Formation enthalpy at 0 K ... 0.234 eV/atom
SG ... No. 11

Q: Which of these has the highest D(E_F)?
A: Pm2Sm5Dy